# La2TcAg, relaxed, DFT PBE-GGA
# N(E_F): 0.3568 states/eV per atom
# Formation energy from the elements: -0.076 eV per atom
# DFT total energy: -5.84 eV per atom
data_La2TcAg
_cell_length_a 3.5744
_cell_length_b 3.5880
_cell_length_c 7.9094
_cell_angle_alpha 90.00
_cell_angle_beta 90.00
_cell_angle_gamma 90.00
_symmetry_space_group_name_H-M 'P m m m'
_symmetry_Int_Tables_number 47
loop_
_symmetry_equiv_pos_as_xyz
'x,y,z'
'-x,-y,-z'
'-x,-y,z'
'x,y,-z'
'x,-y,-z'
'-x,y,z'
'-x,y,-z'
'x,-y,z'
loop_
_atom_site_label
_atom_site_fract_x
_atom_site_fract_y
_atom_site_fract_z
La1 0.0000 0.0000 0.2199
Tc1 0.5000 0.5000 0.0000
Ag1 0.5000 0.5000 0.5000